Density functional theory data (PBE) for a geometry-optimized IrOsRu2 structure.

The space group is Amm2 (No. 38) and the conventional cell measures 4.2111, 2.7118 and 10.0750 Å, with angles of 90.00, 90.00 and 90.00 degrees. The inequivalent atoms are Ir at (0.0000, 0.0000, 0.0000), Os at (0.5000, 0.0000, 0.5971), Ru at (0.0000, 0.0000, 0.2573) and Ru at (0.5000, 0.0000, 0.8533).

As for the raw total energy: -76.05 eV per cell. For the energy above the most stable polymorph in this dataset, the calculation gives 0.161 eV per atom. The calculated density comes out at 16.87 g cm⁻³. For the formation energy, the calculation gives 154 meV per atom. Its crystal system is orthorhombic.


Density functional theory data (PBE) for a geometry-optimized Nd7Sb2Pt2 structure.

The space group is Cmmm (No. 65) and the conventional cell measures 8.7825, 11.3597 and 7.0709 Å, with angles of 90.00, 90.00 and 90.00 degrees. The inequivalent atoms are Nd at (0.0000, 0.0000, 0.0000), Nd at (0.0000, 0.5000, 0.2384), Nd at (0.2500, 0.2500, 0.2578), Sb at (0.1920, 0.0000, 0.5000) and Pt at (0.0000, 0.2754, 0.0000).

As for the raw total energy: -122.15 eV per cell. The calculated density comes out at 7.74 g cm⁻³. The calculation puts the uncorrected formation energy at -7.37 eV/f.u. Its crystal system is orthorhombic.


Density functional theory data (PBE) for a geometry-optimized Nd2Sm7Mg2 structure.

The space group is C2/m (No. 12) and the conventional cell measures 11.7570, 11.3413 and 5.8587 Å, with angles of 90.00, 111.56 and 90.00 degrees. The inequivalent atoms are Nd at (0.0000, 0.2227, 0.0000), Sm at (0.0000, 0.0000, 0.5000), Sm at (0.1923, 0.2074, 0.6860), Sm at (0.2327, 0.0000, 0.1602) and Mg at (0.0644, 0.5000, 0.2808).

As for the raw total energy: -88.42 eV per cell. For the energy above the most stable polymorph in this dataset, the calculation gives 0.075 eV per atom. The calculated density comes out at 6.35 g cm⁻³. For the formation energy, the calculation gives 141 meV per atom. Its crystal system is monoclinic.